# 1
{
  "formula": "BeBi3Mo",
  "functional": "meta-GGA SCAN",
  "state": "PBEsol geometry",
  "lattice": [[5.3072, 0.0000, 0.0000], [0.0000, 5.3072, 0.0000], [0.0000, 0.0000, 5.3072]],
  "species": ["Be", "Mo", "Bi", "Bi", "Bi"],
  "fractional_positions": [[0.5000, 0.5000, 0.5000], [0.0000, 0.0000, 0.0000], [0.0000, 0.5000, 0.0000], [0.0000, 0.0000, 0.5000], [0.5000, 0.0000, 0.0000]],
  "vol_a3_per_atom": 29.90,
  "formation_enthalpy_0k_kj_per_mol_atoms": 109,
  "dft_energy_ev_per_fu": -269.34,
  "total_magnetization_mub_per_cell": 0.000
}



# 2
{
  "formula": "LiLaCr3",
  "functional": "meta-GGA SCAN",
  "state": "PBEsol geometry",
  "lattice": [[4.5195, 0.0000, 0.0000], [0.0000, 4.5195, 0.0000], [0.0000, 0.0000, 4.5195]],
  "species": ["Cr", "Cr", "Cr", "Li", "La"],
  "fractional_positions": [[0.0000, 0.5000, 0.0000], [0.0000, 0.0000, 0.5000], [0.5000, 0.0000, 0.0000], [0.5000, 0.5000, 0.5000], [0.0000, 0.0000, 0.0000]],
  "vol_a3_per_atom": 18.46,
  "formation_enthalpy_0k_kj_per_mol_atoms": 175,
  "dft_energy_ev_per_fu": -91.57,
  "total_magnetization_mub_per_cell": 5.389
}



# 3
{
  "formula": "TaHg4As",
  "functional": "meta-GGA SCAN",
  "state": "PBEsol geometry",
  "lattice": [[5.6308, 0.0000, 0.0000], [2.8154, 4.8764, 0.0000], [2.8154, 1.6255, 4.5975]],
  "species": ["As", "Hg", "Hg", "Hg", "Hg", "Ta"],
  "fractional_positions": [[0.0000, 0.0000, 0.0000], [0.3752, 0.3752, 0.3752], [0.3752, 0.3752, 0.8743], [0.8743, 0.3752, 0.3752], [0.3752, 0.8743, 0.3752], [0.7500, 0.7500, 0.7500]],
  "vol_a3_per_atom": 21.04,
  "formation_enthalpy_0k_kj_per_mol_atoms": 85,
  "dft_energy_ev_per_fu": -354.18,
  "total_magnetization_mub_per_cell": 2.372
}



# 4
{
  "formula": "Pr2Te3",
  "functional": "meta-GGA SCAN",
  "state": "PBEsol geometry",
  "lattice": [[9.4136, 0.0000, 0.0000], [0.0000, 9.4136, 0.0000], [-4.7068, -4.7068, 14.1866]],
  "species": ["Pr", "Pr", "Pr", "Pr", "Pr", "Pr", "Pr", "Pr", "Pr", "Pr", "Pr", "Pr", "Pr", "Pr", "Pr", "Pr", "Te", "Te", "Te", "Te", "Te", "Te", "Te", "Te", "Te", "Te", "Te", "Te", "Te", "Te", "Te", "Te", "Te", "Te", "Te", "Te", "Te", "Te", "Te", "Te"],
  "fractional_positions": [[0.5823, 0.0823, 0.1646], [0.0053, 0.3750, 0.2500], [0.6677, 0.6677, 0.3354], [0.9644, 0.0805, 0.4185], [0.4541, 0.3380, 0.4185], [0.2447, 0.8750, 0.2500], [0.6620, 0.0356, 0.5815], [0.3323, 0.3323, 0.6646], [0.6250, 0.7553, 0.7500], [0.1250, 0.9947, 0.7500], [0.9195, 0.5459, 0.5815], [0.9177, 0.4177, 0.8354], [0.3305, 0.7144, 0.9185], [0.2856, 0.4120, 0.0815], [0.7959, 0.6695, 0.0815], [0.5880, 0.2041, 0.9185], [0.4911, 0.7391, 0.1360], [0.2771, 0.1779, 0.2029], [0.6450, 0.3970, 0.1360], [0.7589, 0.3530, 0.3640], [0.6050, 0.0109, 0.3640], [0.3242, 0.5721, 0.2971], [0.9258, 0.0250, 0.2029], [0.1545, 0.4102, 0.4700], [0.9729, 0.7250, 0.2971], [0.9402, 0.8455, 0.5300], [0.3155, 0.0598, 0.4700], [0.4279, 0.0271, 0.7029], [0.2750, 0.6758, 0.7029], [0.9891, 0.2411, 0.6360], [0.5898, 0.6845, 0.5300], [0.8221, 0.0742, 0.7971], [0.6470, 0.3950, 0.6360], [0.6030, 0.5089, 0.8640], [0.9750, 0.7229, 0.7971], [0.0955, 0.6902, 0.0300], [0.9345, 0.3398, 0.0300], [0.6602, 0.9045, 0.9700], [0.2609, 0.3550, 0.8640], [0.3098, 0.0655, 0.9700]],
  "vol_a3_per_atom": 31.43,
  "e_form_raw_ev_per_atom": -1.63,
  "dft_energy_ev_per_fu": -206.56,
  "total_magnetization_mub_per_cell": 0.000
}



# 5
{
  "formula": "ScTl2Pt",
  "functional": "meta-GGA SCAN",
  "state": "PBEsol geometry",
  "lattice": [[4.2775, 0.0000, 0.0000], [0.0000, 4.2775, 0.0000], [0.0000, 0.0000, 4.4287]],
  "species": ["Pt", "Sc", "Tl", "Tl"],
  "fractional_positions": [[0.5000, 0.5000, 0.5000], [0.0000, 0.0000, 0.5000], [0.0000, 0.5000, 0.0000], [0.5000, 0.0000, 0.0000]],
  "vol_a3_per_atom": 20.26,
  "formation_enthalpy_0k_kj_per_mol_atoms": -32,
  "dft_energy_ev_per_fu": -230.49,
  "total_magnetization_mub_per_cell": 0.000
}



# 6
{
  "formula": "TlSiSnAu2",
  "functional": "meta-GGA SCAN",
  "state": "PBEsol geometry",
  "lattice": [[-0.6197, -2.1793, 4.5812], [4.9639, 0.7673, 1.0364], [-1.1297, 4.5752, 2.0236]],
  "species": ["Si", "Tl", "Au", "Au", "Sn"],
  "fractional_positions": [[0.5000, 0.0000, 0.0000], [0.0000, 0.0000, 0.0000], [0.0000, 0.0000, 0.5000], [0.0000, 0.5000, 0.0000], [0.5000, 0.5000, 0.5000]],
  "vol_a3_per_atom": 26.89,
  "e_form_raw_ev_per_atom": 0.97,
  "dft_energy_ev_per_fu": -251.74,
  "total_magnetization_mub_per_cell": 0.000
}



# 7
{
  "formula": "AlZnTc2",
  "functional": "meta-GGA SCAN",
  "state": "PBEsol geometry",
  "lattice": [[-1.6056, 1.0130, -2.0262], [-3.6689, -0.0291, 2.8928], [2.4034, 4.0055, 0.0982]],
  "species": ["Zn", "Tc", "Tc", "Al"],
  "fractional_positions": [[0.5000, 0.0000, 0.0000], [0.0000, 0.5000, 0.0000], [0.0000, 0.0000, 0.5000], [0.5000, 0.5000, 0.5000]],
  "vol_a3_per_atom": 13.91,
  "formation_enthalpy_0k_kj_per_mol_atoms": 0,
  "dft_energy_ev_per_fu": -91.41,
  "e_above_lowest_polymorph_ev_per_fu": 1.171,
  "total_magnetization_mub_per_cell": 0.000
}



# 8
{
  "formula": "ScZn2Re",
  "functional": "meta-GGA SCAN",
  "state": "PBEsol geometry",
  "lattice": [[-1.8598, 1.8210, 0.8455], [-1.9087, -2.9129, 2.0750], [3.1384, 1.1290, 4.4718]],
  "species": ["Re", "Sc", "Zn", "Zn"],
  "fractional_positions": [[0.0000, 0.0000, 0.4911], [0.5000, 0.5000, 0.7426], [0.0000, 0.0000, 0.0132], [0.5000, 0.5000, 0.2531]],
  "vol_a3_per_atom": 15.47,
  "formation_enthalpy_0k_kj_per_mol_atoms": 5,
  "dft_energy_ev_per_fu": -112.17,
  "e_above_lowest_polymorph_ev_per_fu": 0.352,
  "total_magnetization_mub_per_cell": 0.000
}



# 9
{
  "formula": "SiTc2Sn",
  "functional": "meta-GGA SCAN",
  "state": "PBEsol geometry",
  "lattice": [[-4.2773, 0.8807, -0.2059], [-2.3912, 0.0934, 3.6588], [-1.5238, 3.8058, 1.5190]],
  "species": ["Si", "Sn", "Tc", "Tc"],
  "fractional_positions": [[0.0000, 0.0000, 0.0000], [0.5000, 0.5000, 0.5000], [0.2500, 0.2500, 0.2500], [0.7500, 0.7500, 0.7500]],
  "vol_a3_per_atom": 14.77,
  "e_form_raw_ev_per_atom": 0.06,
  "dft_energy_ev_per_fu": -115.82,
  "total_magnetization_mub_per_cell": 0.000
}



# 10
{
  "formula": "BaSr2Zn",
  "functional": "meta-GGA SCAN",
  "state": "PBEsol geometry",
  "lattice": [[4.0649, 0.0000, 0.0000], [0.0000, 6.1870, 0.0000], [-2.0324, -3.0935, 6.5917]],
  "species": ["Sr", "Sr", "Zn", "Ba"],
  "fractional_positions": [[0.8096, 0.8096, 0.6192], [0.1904, 0.1904, 0.3808], [0.5000, 0.0000, 0.0000], [0.0000, 0.5000, 0.0000]],
  "vol_a3_per_atom": 41.44,
  "formation_enthalpy_0k_kj_per_mol_atoms": -7,
  "dft_energy_ev_per_fu": -97.89,
  "total_magnetization_mub_per_cell": 0.084
}



# 11
{
  "formula": "TlSbTeI2",
  "functional": "meta-GGA SCAN",
  "state": "PBEsol geometry",
  "lattice": [[5.7640, 0.0000, 0.0000], [0.0000, 5.9789, 0.0000], [0.0000, 0.0000, 5.9789]],
  "species": ["I", "I", "Sb", "Tl", "Te"],
  "fractional_positions": [[0.0000, 0.0000, 0.5000], [0.0000, 0.5000, 0.0000], [0.5000, 0.0000, 0.0000], [0.5000, 0.5000, 0.5000], [0.0000, 0.0000, 0.0000]],
  "vol_a3_per_atom": 41.21,
  "e_form_raw_ev_per_atom": 0.19,
  "dft_energy_ev_per_fu": -219.39,
  "e_above_lowest_polymorph_ev_per_fu": 0.000,
  "total_magnetization_mub_per_cell": 0.002
}



# 12
{
  "formula": "RbBeS2N",
  "functional": "meta-GGA SCAN",
  "state": "PBEsol geometry",
  "lattice": [[4.9458, 0.0000, 0.0000], [0.0000, 5.5953, 0.0000], [0.0000, 0.0000, 5.5953]],
  "species": ["Be", "S", "S", "Rb", "N"],
  "fractional_positions": [[0.5000, 0.5000, 0.5000], [0.0000, 0.0000, 0.5000], [0.0000, 0.5000, 0.0000], [0.0000, 0.0000, 0.0000], [0.5000, 0.0000, 0.0000]],
  "vol_a3_per_atom": 30.97,
  "e_form_raw_ev_per_atom": 2.11,
  "dft_energy_ev_per_fu": -43.09,
  "total_magnetization_mub_per_cell": 4.012
}



# 13
{
  "formula": "CrHgSe2",
  "functional": "meta-GGA SCAN",
  "state": "PBEsol geometry",
  "lattice": [[-1.7518, 2.8801, 0.7420], [-3.0901, -2.5270, 2.5130], [2.6402, 0.6112, 3.8608]],
  "species": ["Cr", "Hg", "Se", "Se"],
  "fractional_positions": [[0.5000, 0.0000, 0.0000], [0.5000, 0.5000, 0.5000], [0.0000, 0.5000, 0.0000], [0.0000, 0.0000, 0.5000]],
  "vol_a3_per_atom": 19.20,
  "e_form_raw_ev_per_atom": 0.13,
  "dft_energy_ev_per_fu": -126.21,
  "total_magnetization_mub_per_cell": 3.614
}



# 14
{
  "formula": "InCoRe2",
  "functional": "meta-GGA SCAN",
  "state": "PBEsol geometry",
  "lattice": [[-2.2871, 0.8162, 1.3246], [-2.4891, -0.5236, -1.0870], [-1.8518, -7.6571, 4.4089]],
  "species": ["Re", "Re", "Co", "In"],
  "fractional_positions": [[0.2410, 0.2410, 0.2769], [0.7590, 0.7590, 0.7231], [0.5000, 0.5000, 0.5000], [0.0000, 0.0000, 0.0000]],
  "vol_a3_per_atom": 14.72,
  "formation_enthalpy_0k_kj_per_mol_atoms": 50,
  "dft_energy_ev_per_fu": -190.79,
  "total_magnetization_mub_per_cell": 1.327
}



# 15
{
  "formula": "Sb2Te3",
  "functional": "meta-GGA SCAN",
  "state": "PBEsol geometry",
  "lattice": [[-0.2435, -4.2076, 0.7149], [2.5976, -2.6768, -2.0886], [7.5055, -1.4480, 6.8155]],
  "species": ["Sb", "Sb", "Te", "Te", "Te"],
  "fractional_positions": [[0.3988, 0.3988, 0.8035], [0.6012, 0.6012, 0.1965], [0.2105, 0.2105, 0.3684], [0.7895, 0.7895, 0.6316], [0.0000, 0.0000, 0.0000]],
  "vol_a3_per_atom": 31.46,
  "e_form_raw_ev_per_atom": -0.10,
  "dft_energy_ev_per_fu": -186.79,
  "total_magnetization_mub_per_cell": 0.000
}



# 16
{
  "formula": "MnOF",
  "functional": "meta-GGA SCAN",
  "state": "PBEsol geometry",
  "lattice": [[-2.5470, 1.7612, -1.8844], [-2.2230, -4.7299, -1.4160], [-5.1890, 0.2650, 7.2614]],
  "species": ["Mn", "Mn", "Mn", "Mn", "O", "O", "O", "O", "F", "F", "F", "F"],
  "fractional_positions": [[0.2500, 0.1246, 0.0970], [0.2500, 0.6246, 0.4030], [0.7500, 0.3754, 0.5970], [0.7500, 0.8754, 0.9030], [0.2500, 0.3586, 0.5429], [0.7500, 0.1414, 0.0429], [0.2500, 0.8586, 0.9571], [0.7500, 0.6414, 0.4571], [0.2500, 0.4077, 0.2158], [0.7500, 0.0923, 0.7158], [0.2500, 0.9077, 0.2842], [0.7500, 0.5923, 0.7842]],
  "vol_a3_per_atom": 14.60,
  "e_form_raw_ev_per_atom": -2.41,
  "dft_energy_ev_per_fu": -35.24,
  "total_magnetization_mub_per_cell": 16.000
}



# 17
{
  "formula": "ScHS2",
  "functional": "meta-GGA SCAN",
  "state": "PBEsol geometry",
  "lattice": [[3.7413, 0.0000, 0.0000], [1.8707, 3.2401, 0.0000], [1.8707, 1.0800, 5.9733]],
  "species": ["Sc", "H", "S", "S"],
  "fractional_positions": [[0.5000, 0.5000, 0.5000], [0.0000, 0.0000, 0.0000], [0.9097, 0.9097, 0.2708], [0.0903, 0.0903, 0.7292]],
  "vol_a3_per_atom": 18.10,
  "dft_energy_ev_per_fu": -42.35,
  "e_above_lowest_polymorph_ev_per_fu": 0.000,
  "total_magnetization_mub_per_cell": 0.000
}



# 18
{
  "formula": "MnIr4Br",
  "functional": "meta-GGA SCAN",
  "state": "PBEsol geometry",
  "lattice": [[5.1912, 0.0000, 0.0000], [2.5956, 4.4957, 0.0000], [2.5956, 1.4986, 4.2386]],
  "species": ["Br", "Ir", "Ir", "Ir", "Ir", "Mn"],
  "fractional_positions": [[0.0000, 0.0000, 0.0000], [0.3753, 0.3753, 0.3753], [0.3753, 0.3753, 0.8742], [0.8742, 0.3753, 0.3753], [0.3753, 0.8742, 0.3753], [0.7500, 0.7500, 0.7500]],
  "vol_a3_per_atom": 16.49,
  "e_form_raw_ev_per_atom": 0.79,
  "dft_energy_ev_per_fu": -317.38,
  "total_magnetization_mub_per_cell": 0.734
}



# 19
{
  "formula": "Ba2HgSb",
  "functional": "meta-GGA SCAN",
  "state": "PBEsol geometry",
  "lattice": [[5.8483, 0.0000, 0.0000], [2.9241, 5.0648, 0.0000], [2.9241, 1.6883, 4.7751]],
  "species": ["Sb", "Hg", "Ba", "Ba"],
  "fractional_positions": [[0.5000, 0.5000, 0.5000], [0.0000, 0.0000, 0.0000], [0.7500, 0.7500, 0.7500], [0.2500, 0.2500, 0.2500]],
  "vol_a3_per_atom": 35.36,
  "e_form_raw_ev_per_atom": -0.90,
  "dft_energy_ev_per_fu": -188.13,
  "e_above_lowest_polymorph_ev_per_fu": 0.201,
  "total_magnetization_mub_per_cell": 0.551
}



# 20
{
  "formula": "In2WSe",
  "functional": "meta-GGA SCAN",
  "state": "PBEsol geometry",
  "lattice": [[-0.5144, -3.2163, -0.0508], [0.3492, -0.1328, 4.8697], [-4.8100, 0.7636, 0.3658]],
  "species": ["In", "In", "Se", "W"],
  "fractional_positions": [[0.0000, 0.0000, 0.5000], [0.0000, 0.5000, 0.0000], [0.5000, 0.5000, 0.5000], [0.5000, 0.0000, 0.0000]],
  "vol_a3_per_atom": 19.43,
  "e_form_raw_ev_per_atom": 0.65,
  "dft_energy_ev_per_fu": -153.92,
  "total_magnetization_mub_per_cell": 0.000
}



# 21
{
  "formula": "AlCd2Tc",
  "functional": "meta-GGA SCAN",
  "state": "PBEsol geometry",
  "lattice": [[-3.7352, -0.5751, -0.3569], [0.5101, -3.7076, 0.6354], [1.0708, 2.8443, 4.3977]],
  "species": ["Al", "Tc", "Cd", "Cd"],
  "fractional_positions": [[0.0000, 0.0000, 0.0000], [0.5000, 0.5000, 0.0000], [0.7500, 0.2500, 0.5000], [0.2500, 0.7500, 0.5000]],
  "vol_a3_per_atom": 16.65,
  "formation_enthalpy_0k_kj_per_mol_atoms": 10,
  "dft_energy_ev_per_fu": -103.24,
  "total_magnetization_mub_per_cell": 0.000
}



# 22
{
  "formula": "Li2V3P4O14",
  "functional": "meta-GGA SCAN",
  "state": "PBEsol geometry",
  "lattice": [[7.3200, 0.0000, 0.0155], [0.0000, 7.8390, 0.0000], [-3.2637, 0.0000, 8.8442]],
  "species": ["Li", "Li", "Li", "Li", "V", "V", "V", "V", "V", "V", "P", "P", "P", "P", "P", "P", "P", "P", "O", "O", "O", "O", "O", "O", "O", "O", "O", "O", "O", "O", "O", "O", "O", "O", "O", "O", "O", "O", "O", "O", "O", "O", "O", "O", "O", "O"],
  "fractional_positions": [[0.2949, 0.5823, 0.8624], [0.2949, 0.9177, 0.3624], [0.7051, 0.0823, 0.6376], [0.7051, 0.4177, 0.1376], [0.0000, 0.0000, 0.5000], [0.1907, 0.6306, 0.5230], [0.0000, 0.5000, 0.0000], [0.1907, 0.8694, 0.0230], [0.8093, 0.1306, 0.9770], [0.8093, 0.3694, 0.4770], [0.1207, 0.2044, 0.8077], [0.1207, 0.2956, 0.3077], [0.4044, 0.9479, 0.7809], [0.5956, 0.4479, 0.7191], [0.4044, 0.5521, 0.2809], [0.5956, 0.0521, 0.2191], [0.8793, 0.7044, 0.6923], [0.8793, 0.7956, 0.1923], [0.0127, 0.7056, 0.8597], [0.0412, 0.0770, 0.8958], [0.1580, 0.3775, 0.8826], [0.0127, 0.7944, 0.3597], [0.0412, 0.4230, 0.3958], [0.3229, 0.1335, 0.8053], [0.3811, 0.8283, 0.9010], [0.1580, 0.1225, 0.3826], [0.2785, 0.8867, 0.6199], [0.3874, 0.4904, 0.7054], [0.3229, 0.3665, 0.3053], [0.3811, 0.6717, 0.4010], [0.2785, 0.6133, 0.1199], [0.6126, 0.9904, 0.7946], [0.3874, 0.0096, 0.2054], [0.7215, 0.3867, 0.8801], [0.6189, 0.3283, 0.5990], [0.6771, 0.6335, 0.6947], [0.6126, 0.5096, 0.2946], [0.7215, 0.1133, 0.3801], [0.8420, 0.8775, 0.6174], [0.6189, 0.1717, 0.0990], [0.6771, 0.8665, 0.1947], [0.9588, 0.5770, 0.6042], [0.9873, 0.2056, 0.6403], [0.8420, 0.6225, 0.1174], [0.9588, 0.9230, 0.1042], [0.9873, 0.2944, 0.1403]],
  "vol_a3_per_atom": 11.04,
  "e_form_raw_ev_per_atom": -2.52,
  "dft_energy_ev_per_fu": -244.08,
  "e_above_lowest_polymorph_ev_per_fu": 0.000,
  "total_magnetization_mub_per_cell": 18.000
}



# 23
{
  "formula": "HfZrInW2",
  "functional": "meta-GGA SCAN",
  "state": "PBEsol geometry",
  "lattice": [[-2.2129, 0.7539, 4.1525], [-3.3853, -3.1171, -1.2381], [2.6528, -3.7101, 2.0873]],
  "species": ["Hf", "Zr", "W", "W", "In"],
  "fractional_positions": [[0.0000, 0.0000, 0.0000], [0.0000, 0.0000, 0.5000], [0.0000, 0.5000, 0.0000], [0.5000, 0.0000, 0.0000], [0.5000, 0.5000, 0.5000]],
  "vol_a3_per_atom": 22.78,
  "formation_enthalpy_0k_kj_per_mol_atoms": 173,
  "dft_energy_ev_per_fu": -257.17,
  "total_magnetization_mub_per_cell": 0.000
}